1) Material: VAsP2Cl
Method: DFT, GGA-PBE
State: relaxed

a b c (Å): 4.709 4.709 4.374
angles (deg): 90.00 90.00 90.00
Space group P4/mmm (No. 123)
One atom of each set of equivalent atoms:
V1 0.000 0.000 0.000 [1 per cell]
As1 0.500 0.500 0.500 [1 per cell]
P1 0.000 0.500 0.000 [2 per cell]
Cl1 0.000 0.000 0.500 [1 per cell]

Summary:
The value obtained for the total magnetization is 0.004 μB per formula unit. As for the density of states at the Fermi level: 0.968 states/eV/atom.

---

2) Material: VAsP2Cl
Method: DFT, GGA-PBE
State: relaxed

a b c (Å): 4.739 4.739 4.692
angles (deg): 90.00 90.00 90.00
Space group P4/mmm (No. 123)
One atom of each set of equivalent atoms:
V1 0.000 0.000 0.000 [1 per cell]
As1 0.500 0.500 0.500 [1 per cell]
P1 0.000 0.500 0.500 [2 per cell]
Cl1 0.500 0.500 0.000 [1 per cell]

Summary:
The value obtained for the total magnetization is 0.202 μB per formula unit. As for the density of states at the Fermi level: 0.948 states/eV/atom.

---

Going by the computed energies, the most stable comes first: 1), 2).